BaSrPd2 at its PBEsol-relaxed geometry. Source: the Alexandria database, functional meta-GGA SCAN.

Cell lengths 5.291, 5.291, 5.291 Å; angles 60.00, 60.00, 60.00 degrees
Fractional positions:
Sr1 0.000 0.000 0.000
Ba1 0.500 0.500 0.500
Pd1 0.250 0.250 0.250
Pd2 0.750 0.750 0.750

Output
Space-group type = Fm-3m, No. 225
Calculated formation energy = -0.490 eV/atom
Calculated total energy = -32.33 eV per atom

---

Ba2SrPd2 at its PBEsol-relaxed geometry. Source: the Alexandria database, functional meta-GGA SCAN.

Cell lengths 4.620, 8.271, 8.271 Å; angles 90.00, 90.00, 90.00 degrees
Fractional positions:
Sr1 0.000 0.000 0.000
Sr2 0.000 0.500 0.500
Ba1 0.500 0.163 0.663
Ba2 0.500 0.663 0.837
Ba3 0.500 0.837 0.337
Ba4 0.500 0.337 0.163
Pd1 0.000 0.377 0.877
Pd2 0.000 0.877 0.623
Pd3 0.000 0.623 0.123
Pd4 0.000 0.123 0.377

Output
Space-group type = P4/mbm, No. 127
Calculated formation energy = -0.477 eV/atom
Calculated total energy = -33.86 eV per atom

---

Ba3TaPd at its PBEsol-relaxed geometry. Source: the Alexandria database, functional meta-GGA SCAN.

Cell lengths 5.926, 5.926, 5.926 Å; angles 90.00, 90.00, 90.00 degrees
Fractional positions:
Ba1 0.000 0.500 0.000
Ba2 0.000 0.000 0.500
Ba3 0.500 0.000 0.000
Pd1 0.000 0.000 0.000
Ta1 0.500 0.500 0.500

Output
Space-group type = Pm-3m, No. 221
Calculated formation energy = 0.735 eV/atom
Calculated total energy = -42.87 eV per atom

---

BaZrTaPd2 at its PBEsol-relaxed geometry. Source: the Alexandria database, functional meta-GGA SCAN.

Cell lengths 4.897, 5.070, 5.070 Å; angles 90.00, 90.00, 90.00 degrees
Fractional positions:
Zr1 0.500 0.000 0.000
Ba1 0.500 0.500 0.500
Pd1 0.000 0.000 0.500
Pd2 0.000 0.500 0.000
Ta1 0.000 0.000 0.000

Output
Space-group type = P4/mmm, No. 123
Calculated formation energy = 0.312 eV/atom
Calculated total energy = -40.16 eV per atom

---

BaTe2Pd at its PBEsol-relaxed geometry. Source: the Alexandria database, functional meta-GGA SCAN.

Cell lengths 5.746, 5.746, 9.477 Å; angles 107.65, 107.65, 90.00 degrees
Fractional positions:
Te1 0.526 0.875 0.250
Te2 0.724 0.375 0.250
Te3 0.125 0.276 0.750
Te4 0.625 0.474 0.750
Ba1 0.250 0.750 0.500
Ba2 0.000 0.000 0.000
Pd1 0.750 0.250 0.500
Pd2 0.500 0.500 0.000

Output
Space-group type = I-42d, No. 122
E_form (uncorrected) = -0.8372 eV/atom
Calculated total energy = -37.54 eV per atom

---

BaTe2Pd2 at its PBEsol-relaxed geometry. Source: the Alexandria database, functional meta-GGA SCAN.

Cell lengths 4.524, 4.524, 6.927 Å; angles 109.06, 109.06, 90.00 degrees
Fractional positions:
Te1 0.366 0.366 0.731
Te2 0.634 0.634 0.269
Ba1 0.000 0.000 0.000
Pd1 0.250 0.750 0.500
Pd2 0.750 0.250 0.500

Output
Space-group type = I4/mmm, No. 139
E_form (uncorrected) = -0.9218 eV/atom
Calculated total energy = -36.84 eV per atom

---

| no. | total magnetic moment (μB per cell) |
| --- | --- |
| 1 | 0.00 |
| 2 | 0.00 |
| 3 | 5.01 |
| 4 | 0.00 |
| 5 | 0.00 |
| 6 | 0.00 |